Material: PmGaH
Method: DFT, PBE
State: relaxed

D(E_F): 2.74 states/eV/cell
space group: P2_1/m
size of the total moment: 0.00 μB per cell
relative energy among the computed polymorphs: 0 meV per atom

abc: 4.1791 4.1826 6.2683
angles: 90.00 109.36 90.00
Last column: nearest neighbours and their distance in Å.
Element x y z (fractional)
Pm: 0.1547 0.2500 0.3102  4 H 2.36-2.39
Pm: 0.8453 0.7500 0.6898  4 H 2.36-2.39
Ga: 0.4392 0.2500 0.8827  2 Ga 2.51
Ga: 0.5608 0.7500 0.1173  2 Ga 2.51
H: 0.2472 0.7500 0.4958  4 Pm 2.36-2.39
H: 0.7528 0.2500 0.5042  4 Pm 2.36-2.39

Material: BaAl3Au3
Method: DFT, PBE
State: relaxed

D(E_F): 7.71 states/eV/cell
space group: Pm-3n
energy of formation: -0.434 eV/atom
size of the total moment: 0.00 μB per cell
relative energy among the computed polymorphs: 0 meV per atom

abc: 7.1050 7.1050 7.1050
angles: 90.00 90.00 90.00
Last column: nearest neighbours and their distance in Å.
Element x y z (fractional)
Ba: 0.0000 0.0000 0.0000  12 Al 3.97, 12 Au 3.97
Ba: 0.5000 0.5000 0.5000  12 Al 3.97, 12 Au 3.97
Al: 0.0000 0.2500 0.5000  4 Au 2.51
Al: 0.0000 0.7500 0.5000  4 Au 2.51
Al: 0.2500 0.5000 0.0000  4 Au 2.51
Al: 0.5000 0.0000 0.2500  4 Au 2.51
Al: 0.5000 0.0000 0.7500  4 Au 2.51
Al: 0.7500 0.5000 0.0000  4 Au 2.51
Au: 0.0000 0.5000 0.2500  4 Al 2.51
Au: 0.0000 0.5000 0.7500  4 Al 2.51
Au: 0.2500 0.0000 0.5000  4 Al 2.51
Au: 0.5000 0.2500 0.0000  4 Al 2.51
Au: 0.5000 0.7500 0.0000  4 Al 2.51
Au: 0.7500 0.0000 0.5000  4 Al 2.51

Material: Zn2Cu2Rh7
Method: DFT, PBE
State: relaxed

D(E_F): 18.13 states/eV/cell
space group: C2/m
energy of formation: 0.040 eV/atom
size of the total moment: 0.00 μB per cell

abc: 4.8964 4.8964 6.6233
angles: 98.49 98.49 95.90
Last column: nearest neighbours and their distance in Å.
Element x y z (fractional)
Zn: 0.1801 0.8199 0.0000  8 Rh 2.55-2.82, 2 Cu 2.62, 1 Zn 2.62
Zn: 0.8199 0.1801 0.0000  8 Rh 2.55-2.82, 2 Cu 2.62, 1 Zn 2.62
Cu: 0.0970 0.0970 0.3503  8 Rh 2.54-2.63, 1 Cu 2.58, 2 Zn 2.62
Cu: 0.9030 0.9030 0.6497  8 Rh 2.54-2.63, 1 Cu 2.58, 2 Zn 2.62
Rh: 0.0486 0.4239 0.6931  3 Cu 2.54-2.63, 2 Zn 2.55-2.82, 4 Rh 2.73-2.79
Rh: 0.3525 0.3525 0.0959  4 Rh 2.54-2.79, 4 Zn 2.61-2.65, 1 Cu 2.63
Rh: 0.4239 0.0486 0.6931  3 Cu 2.54-2.63, 2 Zn 2.55-2.82, 4 Rh 2.73-2.79
Rh: 0.5000 0.5000 0.5000  2 Cu 2.61, 10 Rh 2.64-2.88
Rh: 0.5761 0.9514 0.3069  3 Cu 2.54-2.63, 2 Zn 2.55-2.82, 4 Rh 2.73-2.79
Rh: 0.6475 0.6475 0.9041  4 Rh 2.54-2.79, 4 Zn 2.61-2.65, 1 Cu 2.63
Rh: 0.9514 0.5761 0.3069  3 Cu 2.54-2.63, 2 Zn 2.55-2.82, 4 Rh 2.73-2.79